The following is a PBE calculation of a geometry-optimized CuSiMoPt structure, from OQMD via LeMat-Bulk.

abc: 6.1239 6.1239 6.1239
angles: 90.00 90.00 90.00
Closest atoms and distances in Å follow each position.
Space group F-43m (No. 216)
Asymmetric unit:
Cu 0.0000 0.0000 0.0000  4 Si 2.65, 4 Pt 2.65
Si 0.2500 0.2500 0.7500  4 Mo 2.65, 4 Cu 2.65
Mo 0.0000 0.0000 0.5000  4 Pt 2.65, 4 Si 2.65
Pt 0.2500 0.2500 0.2500  4 Mo 2.65, 4 Cu 2.65

Values from the calculation:
* calculated density: 11.1 g cm⁻³
* magnetization: 0.4 μB/f.u.
* V: 14.35 Å³ per atom
* excess energy over the best structure of this formula in the dataset: 0.00 eV per formula unit
* crystal system: cubic